No. 1
Tl2GaAgCl6 | the Alexandria database | PBE-GGA | optimized geometry; SG = P-3m1 (164); E_form (uncorrected) = -0.93 eV/atom; crystal system = trigonal
1.0
-0.634 3.756 5.615
-1.579 -5.836 3.726
6.759 2.088 -0.634
Tl Ga Ag Cl
2 1 1 6
Direct
0.152 0.333 0.667 Tl
0.848 0.667 0.333 Tl
0.000 0.000 0.000 Ga
0.500 0.000 0.000 Ag
0.792 0.158 0.317 Cl
0.792 0.158 0.842 Cl
0.792 0.683 0.842 Cl
0.208 0.842 0.158 Cl
0.208 0.317 0.158 Cl
0.208 0.842 0.683 Cl

***

No. 2
TlGa2AgCl8 | the Alexandria database | PBE-GGA | optimized geometry; SG = R-3 (148); E_form (uncorrected) = -1.03 eV/atom; crystal system = trigonal
1.0
-4.895 -4.091 1.172
-0.418 -5.581 -3.278
3.376 -7.490 5.904
Tl Ga Ag Cl
1 2 1 8
Direct
0.500 0.500 0.500 Tl
0.250 0.250 0.249 Ga
0.750 0.750 0.751 Ga
0.000 0.000 0.000 Ag
0.172 0.172 0.484 Cl
0.591 0.288 0.178 Cl
0.828 0.828 0.516 Cl
0.943 0.591 0.178 Cl
0.057 0.409 0.822 Cl
0.288 0.943 0.178 Cl
0.712 0.057 0.822 Cl
0.409 0.712 0.822 Cl

***

No. 3
Gd3Ag5Cl12 | the Alexandria database | PBE-GGA | optimized geometry; SG = Ia-3d (230); E_form (uncorrected) = -1.20 eV/atom; crystal system = cubic
1.0
13.995 0.000 0.000
-4.665 13.195 0.000
-4.665 -6.597 11.427
Gd Ag Cl
12 20 48
Direct
0.750 0.375 0.125 Gd
0.875 0.750 0.125 Gd
0.375 0.750 0.625 Gd
0.250 0.125 0.375 Gd
0.875 0.125 0.250 Gd
0.375 0.625 0.250 Gd
0.625 0.375 0.750 Gd
0.125 0.875 0.750 Gd
0.750 0.875 0.625 Gd
0.625 0.250 0.375 Gd
0.125 0.250 0.875 Gd
0.250 0.625 0.875 Gd
0.125 0.375 0.250 Ag
0.000 0.500 0.000 Ag
0.000 0.000 0.000 Ag
0.375 0.250 0.125 Ag
0.500 0.000 0.500 Ag
0.500 0.500 0.000 Ag
0.125 0.750 0.375 Ag
0.750 0.125 0.875 Ag
0.750 0.625 0.375 Ag
0.375 0.125 0.750 Ag
0.625 0.875 0.250 Ag
0.500 0.500 0.500 Ag
0.500 0.000 0.000 Ag
0.000 0.000 0.500 Ag
0.250 0.375 0.625 Ag
0.250 0.875 0.125 Ag
0.000 0.500 0.500 Ag
0.875 0.250 0.625 Ag
0.625 0.750 0.875 Ag
0.875 0.625 0.750 Ag
0.726 0.133 0.051 Cl
0.325 0.551 0.419 Cl
0.949 0.367 0.274 Cl
0.551 0.226 0.133 Cl
0.593 0.726 0.675 Cl
0.949 0.581 0.175 Cl
0.325 0.774 0.407 Cl
0.081 0.907 0.133 Cl
0.581 0.949 0.675 Cl
0.726 0.593 0.175 Cl
0.774 0.449 0.367 Cl
0.825 0.919 0.051 Cl
0.133 0.726 0.551 Cl
0.367 0.419 0.093 Cl
0.093 0.919 0.367 Cl
0.407 0.133 0.581 Cl
0.093 0.175 0.226 Cl
0.449 0.675 0.081 Cl
0.825 0.907 0.274 Cl
0.133 0.407 0.081 Cl
0.367 0.949 0.774 Cl
0.581 0.633 0.407 Cl
0.919 0.825 0.551 Cl
0.774 0.325 0.907 Cl
0.419 0.367 0.593 Cl
0.081 0.175 0.449 Cl
0.226 0.675 0.093 Cl
0.175 0.093 0.726 Cl
0.633 0.051 0.226 Cl
0.867 0.593 0.919 Cl
0.551 0.325 0.919 Cl
0.593 0.867 0.419 Cl
0.907 0.825 0.774 Cl
0.907 0.081 0.633 Cl
0.867 0.274 0.449 Cl
0.175 0.081 0.949 Cl
0.633 0.581 0.907 Cl
0.419 0.051 0.325 Cl
0.274 0.407 0.825 Cl
0.226 0.551 0.633 Cl
0.919 0.093 0.867 Cl
0.675 0.226 0.593 Cl
0.449 0.774 0.867 Cl
0.051 0.419 0.825 Cl
0.407 0.274 0.325 Cl
0.051 0.633 0.726 Cl
0.675 0.449 0.581 Cl
0.274 0.867 0.949 Cl

***

No. 4
Gd2AgCl | the Alexandria database | PBE-GGA | optimized geometry; SG = R-3m (166); E_form (uncorrected) = -0.74 eV/atom; crystal system = trigonal
1.0
-3.586 0.139 2.174
0.079 -0.174 4.192
-0.747 6.671 2.391
Gd Ag Cl
2 1 1
Direct
0.254 0.254 0.239 Gd
0.746 0.746 0.761 Gd
0.500 0.500 0.500 Ag
0.000 0.000 0.000 Cl

***

No. 5
Rb2GdAgCl6 | the Alexandria database | PBE-GGA | optimized geometry; SG = Fm-3m (225); E_form (uncorrected) = -1.81 eV/atom; crystal system = cubic
1.0
-0.558 -0.480 7.608
5.504 -3.455 4.025
4.652 4.130 4.441
Rb Gd Ag Cl
2 1 1 6
Direct
0.750 0.750 0.750 Rb
0.250 0.250 0.250 Rb
0.000 0.000 0.000 Gd
0.500 0.500 0.500 Ag
0.754 0.246 0.246 Cl
0.246 0.246 0.754 Cl
0.246 0.754 0.754 Cl
0.246 0.754 0.246 Cl
0.754 0.246 0.754 Cl
0.754 0.754 0.246 Cl

***

No. 6
Ag2GeCl2 | the Alexandria database | PBE-GGA | optimized geometry; SG = P4/mbm (127); E_form (uncorrected) = 0.08 eV/atom; crystal system = tetragonal
1.0
8.162 0.000 0.000
0.000 8.162 0.000
0.000 0.000 3.217
Ge Ag Cl
2 4 4
Direct
0.000 0.000 0.000 Ge
0.500 0.500 0.000 Ge
0.131 0.631 0.500 Ag
0.631 0.869 0.500 Ag
0.869 0.369 0.500 Ag
0.369 0.131 0.500 Ag
0.332 0.832 0.000 Cl
0.832 0.668 0.000 Cl
0.668 0.168 0.000 Cl
0.168 0.332 0.000 Cl